Record 1
## Tb3Pm2Y6 (PBE)

Data for a relaxed Tb3Pm2Y6 crystal.

## Properties
Calculated formation energy ... 2.08 eV per formula unit

Unit cell a=6.154 b=10.679 c=11.722 alpha=90.00 beta=100.20 gamma=90.00
Space group C2/m (No. 12)
One atom of each set of equivalent atoms:
Tb 0.000 0.000 0.000 [2 per cell]
Tb 0.000 0.335 0.000 [4 per cell]
Pm 0.000 0.167 0.500 [4 per cell]
Y 0.250 0.000 0.751 [4 per cell]
Y 0.250 0.166 0.249 [8 per cell]

Record 2
## Tb3Pm5Y3 (PBE)

Data for a relaxed Tb3Pm5Y3 crystal.

## Properties
Calculated formation energy ... 8.64 eV per formula unit

Unit cell a=9.7328 b=9.7328 c=5.5980 alpha=90.00 beta=90.00 gamma=120.00
Space group P-62m (No. 189)
One atom of each set of equivalent atoms:
Tb 0.0000 0.3626 0.0000 [3 per cell]
Pm 0.0000 0.7276 0.0000 [3 per cell]
Pm 0.3333 0.6667 0.0000 [2 per cell]
Y 0.0000 0.5391 0.5000 [3 per cell]

Record 3
## Tb4PmY (PBE)

Data for a relaxed Tb4PmY crystal.

## Properties
Calculated formation energy ... 0.10 eV per formula unit
Relative energy among the computed polymorphs ... 0.00 eV per formula unit

Unit cell a=3.572 b=6.196 c=9.473 alpha=77.35 beta=79.26 gamma=73.47
Space group P-1 (No. 2)
One atom of each set of equivalent atoms:
Tb 0.167 0.499 0.166 [2 per cell]
Tb 0.167 0.999 0.667 [2 per cell]
Pm 0.500 0.500 0.500 [1 per cell]
Y 0.500 0.000 0.000 [1 per cell]

Record 4
## Tb8Pm2Y (PBE)

Data for a relaxed Tb8Pm2Y crystal.

## Properties
Calculated formation energy ... 1.27 eV per formula unit
Relative energy among the computed polymorphs ... 0.00 eV per formula unit

Unit cell a=5.573 b=8.207 c=15.889 alpha=90.00 beta=90.00 gamma=90.00
Space group Immm (No. 71)
One atom of each set of equivalent atoms:
Tb 0.000 0.000 0.160 [4 per cell]
Tb 0.000 0.206 0.363 [8 per cell]
Tb 0.000 0.294 0.000 [4 per cell]
Pm 0.000 0.500 0.202 [4 per cell]
Y 0.000 0.500 0.500 [2 per cell]

Record 5
## TbPm3Y8 (PBE)

Data for a relaxed TbPm3Y8 crystal.

## Properties
Calculated formation energy ... 7.62 eV per formula unit

Unit cell a=8.755 b=8.755 c=11.436 alpha=90.00 beta=90.00 gamma=90.00
Space group I-42m (No. 121)
One atom of each set of equivalent atoms:
Tb 0.000 0.000 0.000 [2 per cell]
Pm 0.000 0.000 0.500 [2 per cell]
Pm 0.000 0.500 0.250 [4 per cell]
Y 0.126 0.126 0.753 [8 per cell]
Y 0.247 0.247 0.006 [8 per cell]

Record 6
## Tb2PmY3 (PBE)

Data for a relaxed Tb2PmY3 crystal.

## Properties
Calculated formation energy ... 0.68 eV per formula unit
Relative energy among the computed polymorphs ... 0.28 eV per formula unit

Unit cell a=17.852 b=3.521 c=14.267 alpha=90.00 beta=117.39 gamma=90.00
Space group C2/m (No. 12)
One atom of each set of equivalent atoms:
Tb 0.157 0.000 0.468 [4 per cell]
Tb 0.182 0.500 0.884 [4 per cell]
Pm 0.062 0.000 0.645 [4 per cell]
Y 0.039 0.500 0.212 [4 per cell]
Y 0.100 0.000 0.026 [4 per cell]
Y 0.239 0.000 0.294 [4 per cell]

no.,D(E_F) (states/eV/cell),magnetic moment (μB/atom)
1,37.9,0.000
2,19.1,0.000
3,8.5,0.000
4,33.5,0.000
5,39.3,0.004
6,41.1,0.000